PmYBiSb: relaxed, PBE-GGA.

Unit cell a=4.489 b=4.490 c=6.341 alpha=90.00 beta=90.00 gamma=90.00
Fractional coordinates of all 4 atoms:
1 Pm 0.000 0.892 0.092
2 Bi 0.500 0.392 0.092
3 Sb 0.000 0.892 0.592
4 Y 0.500 0.392 0.592

raw formation energy	-1.036	eV per atom
space-group type	P4/mmm

---

Si2HgSb2: relaxed, PBE-GGA.

Unit cell a=5.212 b=5.212 c=5.731 alpha=62.96 beta=62.96 gamma=90.00
Fractional coordinates of all 5 atoms:
1 Si 0.362 0.362 0.276
2 Si 0.638 0.638 0.724
3 Hg 0.000 0.000 0.000
4 Sb 0.250 0.750 0.500
5 Sb 0.750 0.250 0.500

energy above the lowest structure with this stoichiometry	0.0000	eV per atom
raw formation energy	0.272	eV per atom
space-group type	I4/mmm

---

SrTaTe2F: relaxed, PBE-GGA.

Unit cell a=5.616 b=5.616 c=4.197 alpha=90.00 beta=90.00 gamma=90.00
Site moments in Bohr magnetons follow the coordinates.
Fractional coordinates of all 5 atoms:
1 Te 0.500 0.000 0.000  -0.01
2 Te 0.000 0.500 0.000  -0.01
3 Ta 0.000 0.000 0.000  0.72
4 F 0.000 0.000 0.500  0.04
5 Sr 0.500 0.500 0.500  0.02

raw formation energy	-1.166	eV per atom
space-group type	P4/mmm

---

Question: Which value of raw formation energy does entry 1 give?
Answer: -1.036 eV per atom